[1]
A geometry-optimized TbNiO3 structure, computed with PBE with a Hubbard U.

Lattice parameters (Å, degrees): 3.763 3.763 3.763 90.00 90.00 90.00
Sites, in units of the cell vectors:
O  0.000  0.500  0.500
Ni  0.500  0.500  0.500
O  0.500  0.000  0.500
Tb  0.000  0.000  0.000
O  0.500  0.500  0.000

Output
As for the magnetization: 1.0 μB per formula unit. Its crystal system is cubic. Its density of states at the Fermi level is 0.10 states/eV per atom. As for the total energy: -6.395 eV per atom.



[2]
A geometry-optimized Tb2NiO structure, computed with PBE with a Hubbard U.

Lattice parameters (Å, degrees): 3.375 3.375 7.974 77.78 77.78 60.00
Sites, in units of the cell vectors:
Tb  0.894  0.894  0.318
Tb  0.106  0.106  0.682
O  0.500  0.500  0.500
Ni  0.000  0.000  0.000

Output
As for the magnetization: 0.0 μB per formula unit. Its crystal system is trigonal. Its density of states at the Fermi level is 0.63 states/eV per atom. As for the total energy: -4.828 eV per atom.



[3]
A geometry-optimized TbNiTe2O8 structure, computed with PBE with a Hubbard U.

Lattice parameters (Å, degrees): 6.092 6.092 6.092 108.14 108.14 112.16
Sites, in units of the cell vectors:
O  0.873  0.684  0.188
O  0.316  0.504  0.188
O  0.946  0.250  0.303
O  0.357  0.054  0.303
O  0.750  0.054  0.697
Tb  0.250  0.750  0.500
O  0.946  0.643  0.697
O  0.316  0.127  0.812
Te  0.500  0.500  0.000
Te  0.750  0.250  0.500
O  0.496  0.684  0.812
Ni  0.000  0.000  0.000

Output
As for the magnetization: 1.3 μB per formula unit. Its crystal system is tetragonal. Its density of states at the Fermi level is 0.20 states/eV per atom. As for the total energy: -5.728 eV per atom.



[4]
A geometry-optimized Tb2TiNiO6 structure, computed with PBE with a Hubbard U.

Lattice parameters (Å, degrees): 5.326 5.652 7.681 90.00 89.33 90.00
Sites, in units of the cell vectors:
Tb  0.019  0.931  0.252
O  0.184  0.205  0.061
Ni  0.500  0.000  0.000
Ti  0.500  0.000  0.500
Tb  0.519  0.569  0.752
O  0.201  0.188  0.446
O  0.701  0.312  0.946
O  0.113  0.459  0.757
O  0.299  0.688  0.054
O  0.887  0.541  0.243
Tb  0.981  0.069  0.748
O  0.684  0.295  0.561
Ti  0.000  0.500  0.000
O  0.613  0.041  0.257
O  0.799  0.812  0.554
O  0.316  0.705  0.439
Ni  0.000  0.500  0.500
O  0.387  0.959  0.743
Tb  0.481  0.431  0.248
O  0.816  0.795  0.939

Output
As for the magnetization: 2.0 μB per formula unit. Its crystal system is monoclinic. Its density of states at the Fermi level is 0.00 states/eV per atom. As for the total energy: -7.905 eV per atom.



[5]
A geometry-optimized TcNiO3 structure, computed with PBE with a Hubbard U.

Lattice parameters (Å, degrees): 3.819 3.819 3.819 90.00 90.00 90.00
Sites, in units of the cell vectors:
Tc  0.000  0.000  0.000
O  0.000  0.500  0.000
O  0.500  0.000  0.000
Ni  0.500  0.500  0.500
O  0.000  0.000  0.500

Output
As for the magnetization: 0.8 μB per formula unit. Its crystal system is cubic. Its density of states at the Fermi level is 1.58 states/eV per atom. As for the total energy: -5.932 eV per atom.



[6]
A geometry-optimized TcNiO4 structure, computed with PBE with a Hubbard U.

Lattice parameters (Å, degrees): 5.170 5.170 6.364 90.00 90.00 112.42
Sites, in units of the cell vectors:
Tc  0.358  0.642  0.250
O  0.235  0.765  0.028
O  0.235  0.765  0.472
O  0.765  0.235  0.528
O  0.738  0.785  0.250
O  0.765  0.235  0.972
Ni  0.000  0.000  0.000
O  0.215  0.262  0.250
Ni  0.000  0.000  0.500
Tc  0.642  0.358  0.750
O  0.785  0.738  0.750
O  0.262  0.215  0.750

Output
As for the magnetization: 1.0 μB per formula unit. Its crystal system is orthorhombic. Its density of states at the Fermi level is 0.63 states/eV per atom. As for the total energy: -6.668 eV per atom.



[7]
A geometry-optimized TcNi2O structure, computed with PBE with a Hubbard U.

Lattice parameters (Å, degrees): 6.926 6.926 5.303 49.23 49.23 90.00
Sites, in units of the cell vectors:
O  0.250  0.750  0.500
O  0.500  0.500  0.000
Ni  0.375  0.456  0.750
Ni  0.206  0.625  0.250
Tc  0.000  0.000  0.000
Ni  0.875  0.794  0.750
Ni  0.544  0.125  0.250
Tc  0.750  0.250  0.500

Output
As for the magnetization: 2.2 μB per formula unit. Its crystal system is tetragonal. Its density of states at the Fermi level is 0.79 states/eV per atom. As for the total energy: -4.586 eV per atom.



[8]
A geometry-optimized TcNi3O structure, computed with PBE with a Hubbard U.

Lattice parameters (Å, degrees): 3.950 3.950 3.950 90.00 90.00 90.00
Sites, in units of the cell vectors:
O  0.000  0.000  0.000
Ni  0.500  0.000  0.000
Ni  0.000  0.000  0.500
Tc  0.500  0.500  0.500
Ni  0.000  0.500  0.000

Output
As for the magnetization: 5.8 μB per formula unit. Its crystal system is cubic. The calculation puts the excess energy over the best structure of this formula in the dataset at 0 meV per atom. Its density of states at the Fermi level is 0.60 states/eV per atom.